PrPbIO6 after structural relaxation. Source: Alexandria via LeMat-Bulk, functional PBE.

a = 5.904 Å, b = 5.904 Å, c = 9.828 Å
α = 90.00°, β = 90.00°, γ = 120.00°
Positions (direct):
Pr (0.333, 0.667, 0.250)
Pr (0.667, 0.333, 0.750)
Pb (0.000, 0.000, 0.000)
Pb (0.000, 0.000, 0.500)
I (0.667, 0.333, 0.250)
I (0.333, 0.667, 0.750)
O (0.659, 0.597, 0.140)
O (0.938, 0.341, 0.140)
O (0.341, 0.938, 0.640)
O (0.062, 0.659, 0.860)
O (0.403, 0.341, 0.360)
O (0.938, 0.597, 0.360)
O (0.597, 0.938, 0.860)
O (0.659, 0.062, 0.360)
O (0.062, 0.403, 0.640)
O (0.403, 0.062, 0.140)
O (0.597, 0.659, 0.640)
O (0.341, 0.403, 0.860)

Computed properties:
For the raw formation energy, the calculation gives -1.3569 eV/atom. For the raw total energy, the calculation gives -104.00 eV/cell. The calculation puts the total magnetization at 0.0 μB/cell. For the density of states at the Fermi level, the calculation gives 0.00 states/eV per cell.